*a*
{
  "formula": "Tb5Pm2Tm2",
  "functional": "PBE",
  "state": "relaxed",
  "mass_density_kg_m3": 8025,
  "n_ef_per_ev_atom": 1.574,
  "m_tot_mub_per_cell": 0.00,
  "lattice_angstrom": [[11.765, 0.000, 0.000], [0.000, 6.728, 0.000], [-5.882, -3.364, 7.438]],
  "species": ["Tb", "Tb", "Tb", "Tb", "Tb", "Tb", "Tb", "Tb", "Tb", "Tb", "Pm", "Pm", "Pm", "Pm", "Tm", "Tm", "Tm", "Tm"],
  "fractional_positions": [[0.200, 0.656, 0.896], [0.801, 0.760, 0.104], [0.196, 0.156, 0.896], [0.804, 0.260, 0.104], [0.379, 0.027, 0.287], [0.621, 0.740, 0.713], [0.408, 0.527, 0.287], [0.592, 0.240, 0.713], [0.003, 0.658, 0.500], [0.997, 0.158, 0.500], [0.126, 0.685, 0.253], [0.874, 0.432, 0.747], [0.627, 0.185, 0.253], [0.373, 0.932, 0.747], [0.000, 0.020, 0.000], [0.500, 0.520, 0.000], [0.261, 0.357, 0.500], [0.739, 0.857, 0.500]]
}

*b*
{
  "formula": "Tb5Pm2Tm2",
  "functional": "PBE",
  "state": "relaxed",
  "mass_density_kg_m3": 8119,
  "n_ef_per_ev_atom": 1.511,
  "m_tot_mub_per_cell": 0.00,
  "lattice_angstrom": [[-1.007, 2.645, -2.157], [-7.020, -2.906, 5.586], [4.577, 6.325, 5.613]],
  "species": ["Tb", "Tb", "Tb", "Tb", "Tb", "Pm", "Pm", "Tm", "Tm"],
  "fractional_positions": [[0.856, 0.356, 0.212], [0.144, 0.644, 0.788], [0.314, 0.314, 0.533], [0.686, 0.686, 0.467], [0.000, 0.000, 0.000], [0.528, 0.028, 0.684], [0.472, 0.972, 0.316], [0.337, 0.337, 0.889], [0.663, 0.663, 0.111]]
}

Sorted by energy, starting with the most stable: *b*, *a*.

*a*
{
  "formula": "Tb2Pm2Tm3",
  "functional": "PBE",
  "state": "relaxed",
  "mass_density_kg_m3": 8337,
  "n_ef_per_ev_atom": 1.338,
  "m_tot_mub_per_cell": 0.00,
  "lattice_angstrom": [[-2.482, -1.532, 4.095], [3.386, -4.374, -2.670], [5.717, 3.071, 4.614]],
  "species": ["Tb", "Tb", "Pm", "Pm", "Tm", "Tm", "Tm"],
  "fractional_positions": [[0.786, 0.573, 0.856], [0.214, 0.427, 0.144], [0.929, 0.857, 0.286], [0.071, 0.143, 0.714], [0.500, 0.000, 0.000], [0.643, 0.287, 0.428], [0.357, 0.713, 0.572]]
}

*b*
{
  "formula": "Tb2Pm2Tm3",
  "functional": "PBE",
  "state": "relaxed",
  "mass_density_kg_m3": 8141,
  "n_ef_per_ev_atom": 1.315,
  "m_tot_mub_per_cell": 0.00,
  "lattice_angstrom": [[-2.320, 1.655, -7.892], [-5.945, -4.571, 3.763], [1.052, 7.202, 4.175]],
  "species": ["Tb", "Tb", "Tb", "Tb", "Pm", "Pm", "Pm", "Pm", "Tm", "Tm", "Tm", "Tm", "Tm", "Tm"],
  "fractional_positions": [[0.000, 0.000, 0.418], [0.500, 0.418, 0.500], [0.582, 0.082, 0.082], [0.918, 0.500, 0.000], [0.000, 0.000, 0.814], [0.500, 0.814, 0.500], [0.186, 0.686, 0.686], [0.314, 0.500, 0.000], [0.696, 0.750, 0.946], [0.804, 0.250, 0.554], [0.054, 0.304, 0.250], [0.446, 0.196, 0.750], [0.250, 0.946, 0.196], [0.750, 0.554, 0.304]]
}

Sorted by energy, starting with the most stable: *a*, *b*.

*a*
{
  "formula": "TbPm4Tm3",
  "functional": "PBE",
  "state": "relaxed",
  "mass_density_kg_m3": 7803,
  "n_ef_per_ev_atom": 1.451,
  "m_tot_mub_per_cell": 0.00,
  "lattice_angstrom": [[5.551, 0.000, -1.106], [-0.068, 3.601, -0.341], [-0.257, 1.251, 13.190]],
  "species": ["Tm", "Tm", "Tm", "Tb", "Pm", "Pm", "Pm", "Pm"],
  "fractional_positions": [[0.000, 0.500, 0.000], [0.849, 0.000, 0.697], [0.151, 0.000, 0.303], [0.500, 0.000, 0.000], [0.603, 0.500, 0.206], [0.397, 0.500, 0.794], [0.277, 0.500, 0.553], [0.723, 0.500, 0.447]]
}

*b*
{
  "formula": "TbPm4Tm3",
  "functional": "PBE",
  "state": "relaxed",
  "mass_density_kg_m3": 7890,
  "n_ef_per_ev_atom": 1.819,
  "m_tot_mub_per_cell": 0.00,
  "lattice_angstrom": [[6.281, 0.000, 0.000], [0.000, 7.292, 0.000], [0.000, 0.000, 11.447]],
  "species": ["Tb", "Tb", "Pm", "Pm", "Pm", "Pm", "Pm", "Pm", "Pm", "Pm", "Tm", "Tm", "Tm", "Tm", "Tm", "Tm"],
  "fractional_positions": [[0.149, 0.377, 0.000], [0.649, 0.623, 0.500], [0.142, 0.872, 0.000], [0.650, 0.129, 0.000], [0.982, 0.127, 0.253], [0.482, 0.873, 0.247], [0.150, 0.871, 0.500], [0.642, 0.128, 0.500], [0.482, 0.873, 0.753], [0.982, 0.127, 0.747], [0.648, 0.620, 0.000], [0.981, 0.621, 0.250], [0.481, 0.379, 0.250], [0.148, 0.380, 0.500], [0.481, 0.379, 0.750], [0.981, 0.621, 0.750]]
}

Sorted by energy, starting with the most stable: *b*, *a*.

*a*
{
  "formula": "Tb3Pm2Tm",
  "functional": "PBE",
  "state": "relaxed",
  "mass_density_kg_m3": 8026,
  "n_ef_per_ev_atom": 1.674,
  "m_tot_mub_per_cell": 0.00,
  "lattice_angstrom": [[-1.687, -4.619, 2.804], [1.498, -2.281, -8.571], [7.198, 1.277, 6.437]],
  "species": ["Tb", "Tb", "Tb", "Tb", "Tb", "Tb", "Pm", "Pm", "Pm", "Pm", "Tm", "Tm"],
  "fractional_positions": [[0.251, 0.501, 0.591], [0.002, 0.004, 0.670], [0.624, 0.248, 0.618], [0.376, 0.752, 0.382], [0.998, 0.996, 0.330], [0.749, 0.499, 0.409], [0.502, 0.004, 0.837], [0.498, 0.996, 0.163], [0.749, 0.498, 0.072], [0.251, 0.502, 0.928], [0.875, 0.750, 0.868], [0.125, 0.250, 0.132]]
}

*b*
{
  "formula": "Tb3Pm2Tm",
  "functional": "PBE",
  "state": "relaxed",
  "mass_density_kg_m3": 7887,
  "n_ef_per_ev_atom": 1.549,
  "m_tot_mub_per_cell": 0.00,
  "lattice_angstrom": [[5.439, 0.000, 1.120], [1.794, 7.013, 5.052], [0.328, 2.660, 12.174]],
  "species": ["Tb", "Tb", "Tb", "Tb", "Tb", "Tb", "Pm", "Pm", "Pm", "Pm", "Tm", "Tm"],
  "fractional_positions": [[0.084, 0.937, 0.895], [0.916, 0.063, 0.105], [0.722, 0.645, 0.911], [0.278, 0.355, 0.089], [0.749, 0.157, 0.344], [0.251, 0.843, 0.656], [0.894, 0.549, 0.662], [0.106, 0.451, 0.338], [0.595, 0.219, 0.591], [0.405, 0.781, 0.409], [0.441, 0.272, 0.846], [0.559, 0.728, 0.154]]
}

Sorted by energy, starting with the most stable: *a*, *b*.